# Ga2Sb2Au | Alexandria via LeMat-Bulk | GGA-PBEsol | optimized geometry
# magnetization	0.000	μB per cell
# DOS(E_F)	2.7	states/eV per cell
# formation energy from raw total energies	0.7	eV/f.u.
data_Ga2Sb2Au
_chemical_formula_sum 'Ga2 Sb2 Au1'
_cell_length_a 8.290
_cell_length_b 8.290
_cell_length_c 8.290
_cell_angle_alpha 154.17
_cell_angle_beta 154.17
_cell_angle_gamma 36.85
_space_group_name_H-M_alt 'P 1'
_space_group_IT_number 1
loop_
_space_group_symop_operation_xyz
'x,y,z'
loop_
_atom_site_label
_atom_site_type_symbol
_atom_site_fract_x
_atom_site_fract_y
_atom_site_fract_z
Ga1 Ga 0.250 0.750 0.500
Ga2 Ga 0.750 0.250 0.500
Sb1 Sb 0.097 0.097 0.000
Sb2 Sb 0.903 0.903 0.000
Au1 Au 0.500 0.500 0.000